# 1
Compound: HfAl2P
Source: the Alexandria database
Functional: PBE
Structure: optimized geometry Values from VASP.

Formation energy = -0.172 eV per atom
Energy = -23.5 eV per formula unit

```
&SYSTEM
  ibrav = 0, nat = 8, ntyp = 3
/
ATOMIC_SPECIES
Hf 178.49 Hf.upf
Al 26.98 Al.upf
P 30.97 P.upf
CELL_PARAMETERS angstrom
-3.701 3.701 2.618
3.701 -3.701 2.618
3.701 3.701 -2.618
ATOMIC_POSITIONS angstrom
Hf 0.000 0.000 0.000
Hf 0.000 3.701 1.309
Al 1.851 2.218 -0.655
Al 5.184 1.851 0.655
Al 1.851 1.483 1.964
Al -1.483 1.851 3.273
P 3.701 0.000 1.309
P 0.000 0.000 2.618
```


# 2
Compound: CaTl2Zn
Source: the Alexandria database
Functional: PBE
Structure: optimized geometry Values from VASP.

Formation energy = -0.142 eV per atom
Energy = -8.6 eV per formula unit

```
&SYSTEM
  ibrav = 0, nat = 4, ntyp = 3
/
ATOMIC_SPECIES
Ca 40.08 Ca.upf
Tl 204.38 Tl.upf
Zn 65.41 Zn.upf
CELL_PARAMETERS angstrom
-2.134 2.481 5.024
2.134 -2.481 5.024
2.134 2.481 -5.024
ATOMIC_POSITIONS angstrom
Ca 0.000 0.000 0.000
Tl 2.134 0.000 2.699
Tl 0.000 0.000 5.385
Zn 0.000 2.481 2.536
```


Repeat the first record exactly.
Compound: HfAl2P
Source: the Alexandria database
Functional: PBE
Structure: optimized geometry Values from VASP.

Formation energy = -0.172 eV per atom
Energy = -23.5 eV per formula unit

```
&SYSTEM
  ibrav = 0, nat = 8, ntyp = 3
/
ATOMIC_SPECIES
Hf 178.49 Hf.upf
Al 26.98 Al.upf
P 30.97 P.upf
CELL_PARAMETERS angstrom
-3.701 3.701 2.618
3.701 -3.701 2.618
3.701 3.701 -2.618
ATOMIC_POSITIONS angstrom
Hf 0.000 0.000 0.000
Hf 0.000 3.701 1.309
Al 1.851 2.218 -0.655
Al 5.184 1.851 0.655
Al 1.851 1.483 1.964
Al -1.483 1.851 3.273
P 3.701 0.000 1.309
P 0.000 0.000 2.618
```